YThIrSe: optimized geometry, GGA-PBE.

E in Ha/atom: -0.2864
Fermi-level density of states in states/eV/f.u.: 1.41
Crystal system: trigonal
ρ in g cm⁻³: 9.4
V in Å³ per cell: 313

Unit cell a=4.0406 b=4.0406 c=22.1704 alpha=90.00 beta=90.00 gamma=120.00
Space group R3m (No. 160, hexagonal axes)
One atom of each set of equivalent atoms:
Y 0.0000 0.0000 0.0000 [3 per cell]
Th 0.0000 0.0000 0.1881 [3 per cell]
Ir 0.0000 0.0000 0.5924 [3 per cell]
Se 0.0000 0.0000 0.4215 [3 per cell]

***

TiIrSe2: optimized geometry, GGA-PBE.

E in Ha/atom: -0.2244
Fermi-level density of states in states/eV/f.u.: 3.65
Crystal system: cubic
ρ in g cm⁻³: 10.2
Energy above the lowest structure with this stoichiometry in meV per atom: 126
V in Å³ per cell: 259

Unit cell a=6.373 b=6.373 c=6.373 alpha=90.00 beta=90.00 gamma=90.00
Space group Fm-3m (No. 225)
One atom of each set of equivalent atoms:
Ti 0.000 0.000 0.000 [4 per cell]
Ir 0.000 0.000 0.500 [4 per cell]
Se 0.250 0.250 0.250 [8 per cell]

***

TiIrSe3: optimized geometry, GGA-PBE.

E in Ha/atom: -0.1812
Fermi-level density of states in states/eV/f.u.: 5.61
Crystal system: cubic
ρ in g cm⁻³: 6.9
Energy above the lowest structure with this stoichiometry in meV per atom: 0
V in Å³ per cell: 115

Unit cell a=4.862 b=4.862 c=4.862 alpha=90.00 beta=90.00 gamma=90.00
Space group Pm-3m (No. 221)
One atom of each set of equivalent atoms:
Ti 0.000 0.000 0.000 [1 per cell]
Ir 0.500 0.500 0.500 [1 per cell]
Se 0.000 0.500 0.500 [3 per cell]

***

TiIrSe4: optimized geometry, GGA-PBE.

E in Ha/atom: -0.2123
Fermi-level density of states in states/eV/f.u.: 3.07
Crystal system: monoclinic
ρ in g cm⁻³: 6.6
V in Å³ per cell: 279

Unit cell a=14.300 b=3.596 c=5.767 alpha=90.00 beta=109.75 gamma=90.00
Space group C2/m (No. 12)
One atom of each set of equivalent atoms:
Ti 0.000 0.000 0.000 [2 per cell]
Ir 0.000 0.500 0.500 [2 per cell]
Se 0.115 0.000 0.447 [4 per cell]
Se 0.119 0.500 0.941 [4 per cell]

***

Calculated raw formation energy in order - -1.235, -0.174, 0.512, -0.662 eV per atom